Below is an optimized crystal structure of Cu2SnI, with properties calculated at the PBE level.

Energy above the lowest structure with this stoichiometry: 0.000 eV/atom
E: -3.195 eV/atom
Raw formation energy: 0.241 eV/atom

a = 6.759 Å, b = 6.759 Å, c = 6.759 Å
α = 122.06°, β = 122.06°, γ = 86.46°
Positions (direct):
Cu  0.118  0.625  0.993
Cu  0.375  0.368  0.493
Cu  0.632  0.125  0.007
Cu  0.875  0.882  0.507
Sn  0.000  0.000  0.000
Sn  0.750  0.250  0.500
I  0.250  0.750  0.500
I  0.500  0.500  0.000